# 1
The following is a PBE-GGA calculation of crystalline Zr5Ga2Sb at its relaxed geometry, from Alexandria via LeMat-Bulk.

Cell lengths 7.299, 7.299, 8.153 Å; angles 116.59, 116.59, 90.00 degrees
Element x y z (fractional)
Zr: 0.191 0.010 0.701
Zr: 0.000 0.000 0.000
Zr: 0.309 0.809 0.299
Zr: 0.500 0.500 0.000
Zr: 0.990 0.490 0.299
Zr: 0.490 0.309 0.299
Zr: 0.510 0.691 0.701
Zr: 0.809 0.990 0.299
Zr: 0.691 0.191 0.701
Zr: 0.010 0.510 0.701
Ga: 0.636 0.136 0.000
Ga: 0.864 0.636 0.000
Ga: 0.136 0.364 0.000
Ga: 0.364 0.864 0.000
Sb: 0.750 0.750 0.500
Sb: 0.250 0.250 0.500

Calculated values
**Size of the total moment**: 0.000 μB per atom
**Energy relative to the elements, uncorrected**: -4.78 eV per formula unit

=====

# 2
The following is a PBE-GGA calculation of crystalline HfScO2 at its relaxed geometry, from Alexandria via LeMat-Bulk.

Cell lengths 4.921, 4.921, 6.030 Å; angles 65.92, 65.92, 90.00 degrees
Element x y z (fractional)
O: 0.375 0.366 0.750
O: 0.116 0.625 0.250
O: 0.875 0.884 0.750
O: 0.634 0.125 0.250
Hf: 0.000 0.000 0.000
Hf: 0.750 0.250 0.500
Sc: 0.250 0.750 0.500
Sc: 0.500 0.500 0.000

Calculated values
**Size of the total moment**: 0.000 μB per atom
**Offset from the most stable computed form**: 0.2734 eV per atom
**Energy relative to the elements, uncorrected**: -9.84 eV per formula unit

=====

# 3
The following is a PBE-GGA calculation of crystalline SrGa4Ir2Ru at its relaxed geometry, from Alexandria via LeMat-Bulk.

Cell lengths 4.259, 4.259, 9.530 Å; angles 77.09, 77.09, 60.00 degrees
Element x y z (fractional)
Ga: 0.866 0.866 0.402
Ga: 0.134 0.134 0.598
Ga: 0.408 0.408 0.777
Ga: 0.592 0.592 0.223
Ir: 0.766 0.766 0.702
Ir: 0.234 0.234 0.298
Ru: 0.500 0.500 0.500
Sr: 0.000 0.000 0.000

Calculated values
**Size of the total moment**: 0.000 μB per atom
**Calculated formation energy**: -3.7 eV/f.u.

=====

# 4
The following is a PBE-GGA calculation of crystalline ZnAg2Au at its relaxed geometry, from Alexandria via LeMat-Bulk.

Cell lengths 5.029, 5.029, 5.001 Å; angles 77.23, 77.23, 33.90 degrees
Element x y z (fractional)
Au: 0.512 0.512 0.486
Ag: 0.989 0.989 0.002
Ag: 0.750 0.750 0.756
Zn: 0.249 0.249 0.257

Calculated values
**Size of the total moment**: 0.000 μB per atom
**Calculated formation energy**: -0.3 eV/f.u.

=====

# 5
The following is a PBE-GGA calculation of crystalline Mg2TaZn at its relaxed geometry, from Alexandria via LeMat-Bulk.

Cell lengths 2.976, 2.976, 8.379 Å; angles 90.00, 90.00, 90.00 degrees
Element x y z (fractional)
Mg: 0.000 0.000 0.973
Mg: 0.500 0.500 0.262
Ta: 0.000 0.000 0.521
Zn: 0.500 0.500 0.744

Calculated values
**Size of the total moment**: 0.000 μB per atom
**Calculated formation energy**: 0.3 eV/f.u.

=====

# 6
The following is a PBE-GGA calculation of crystalline YMnFe2 at its relaxed geometry, from Alexandria via LeMat-Bulk.

Cell lengths 4.618, 4.618, 4.618 Å; angles 124.81, 124.81, 81.86 degrees
Element x y z (fractional)
Fe: 0.250 0.750 0.500
Fe: 0.000 0.000 0.000
Mn: 0.500 0.500 0.000
Y: 0.750 0.250 0.500

Calculated values
**Size of the total moment**: 1.947 μB per atom
**Calculated formation energy**: 1.4 eV/f.u.
**Offset from the most stable computed form**: 0.2251 eV per atom

=====

# 7
The following is a PBE-GGA calculation of crystalline Rb4Ac3DyS8 at its relaxed geometry, from Alexandria via LeMat-Bulk.

Cell lengths 8.738, 9.236, 8.738 Å; angles 118.25, 120.00, 90.00 degrees
Element x y z (fractional)
S: 0.750 0.698 0.974
S: 0.224 0.698 0.448
S: 0.776 0.302 0.026
S: 0.224 0.698 0.974
S: 0.735 0.706 0.471
S: 0.265 0.294 0.529
S: 0.250 0.302 0.026
S: 0.776 0.302 0.552
Ac: 0.500 0.500 0.000
Ac: 0.000 0.500 0.500
Ac: 0.500 0.500 0.500
Dy: 0.000 0.500 0.000
Rb: 0.500 0.000 0.500
Rb: 0.000 0.000 0.000
Rb: 0.000 0.000 0.500
Rb: 0.500 0.000 0.000

Calculated values
**Size of the total moment**: 0.000 μB per atom
**Energy relative to the elements, uncorrected**: -29.69 eV per formula unit

=====

# 8
The following is a PBE-GGA calculation of crystalline LiHg2Rh at its relaxed geometry, from Alexandria via LeMat-Bulk.

Cell lengths 4.154, 4.154, 9.800 Å; angles 77.76, 77.76, 90.00 degrees
Element x y z (fractional)
Li: 0.250 0.750 0.500
Li: 0.500 0.500 0.000
Hg: 0.375 0.373 0.750
Hg: 0.123 0.625 0.250
Hg: 0.627 0.125 0.250
Hg: 0.875 0.877 0.750
Rh: 0.750 0.250 0.500
Rh: 0.000 0.000 0.000

Calculated values
**Size of the total moment**: 0.000 μB per atom
**Calculated formation energy**: 0.7 eV/f.u.

=====

# 9
The following is a PBE-GGA calculation of crystalline CsHgPS4 at its relaxed geometry, from Alexandria via LeMat-Bulk.

Cell lengths 6.384, 7.555, 9.490 Å; angles 90.00, 107.08, 90.00 degrees
Element x y z (fractional)
S: 0.016 0.467 0.710
S: 0.564 0.250 0.508
S: 0.436 0.750 0.492
S: 0.016 0.033 0.710
S: 0.308 0.750 0.120
S: 0.692 0.250 0.880
S: 0.984 0.533 0.290
S: 0.984 0.967 0.290
Cs: 0.722 0.750 0.909
Cs: 0.278 0.250 0.091
P: 0.816 0.250 0.708
P: 0.184 0.750 0.292
Hg: 0.256 0.250 0.609
Hg: 0.744 0.750 0.391

Calculated values
**Size of the total moment**: 0.000 μB per atom
**Energy relative to the elements, uncorrected**: -3.57 eV per formula unit

=====

# 10
The following is a PBE-GGA calculation of crystalline TaIrW2 at its relaxed geometry, from Alexandria via LeMat-Bulk.

Cell lengths 4.296, 4.296, 3.525 Å; angles 90.00, 90.00, 90.00 degrees
Element x y z (fractional)
W: 0.000 0.000 0.000
W: 0.500 0.500 0.000
Ir: 0.500 0.000 0.500
Ta: 0.000 0.500 0.500

Calculated values
**Size of the total moment**: 0.000 μB per atom
**Calculated formation energy**: 0.1 eV/f.u.
**Offset from the most stable computed form**: 0.1250 eV per atom

=====

# 11
The following is a PBE-GGA calculation of crystalline AcPr2In6 at its relaxed geometry, from Alexandria via LeMat-Bulk.

Cell lengths 3.844, 8.799, 8.799 Å; angles 120.00, 90.00, 90.00 degrees
Element x y z (fractional)
In: 0.500 0.000 0.337
In: 0.500 0.337 0.000
In: 0.500 0.663 0.000
In: 0.500 0.000 0.663
In: 0.500 0.337 0.337
In: 0.500 0.663 0.663
Ac: 0.000 0.000 0.000
Pr: 0.000 0.333 0.667
Pr: 0.000 0.667 0.333

Calculated values
**Size of the total moment**: 0.000 μB per atom
**Calculated formation energy**: -4.1 eV/f.u.

=====

# 12
The following is a PBE-GGA calculation of crystalline Hf2Si2Bi at its relaxed geometry, from Alexandria via LeMat-Bulk.

Cell lengths 7.388, 7.388, 3.604 Å; angles 90.00, 90.00, 90.00 degrees
Element x y z (fractional)
Si: 0.884 0.616 0.000
Si: 0.116 0.384 0.000
Si: 0.616 0.116 0.000
Si: 0.384 0.884 0.000
Hf: 0.675 0.825 0.500
Hf: 0.325 0.175 0.500
Hf: 0.175 0.675 0.500
Hf: 0.825 0.325 0.500
Bi: 0.500 0.500 0.000
Bi: 0.000 0.000 0.000

Calculated values
**Size of the total moment**: 0.000 μB per atom
**Energy relative to the elements, uncorrected**: -1.04 eV per formula unit